(1)
Density functional theory data (PBE) for crystalline Li2AcPd2 at its relaxed geometry.

Lattice parameters (Å, degrees): 6.934 6.934 6.934 145.83 145.83 49.10
Sites, in units of the cell vectors:
1 Li 0.250 0.750 0.500
2 Li 0.750 0.250 0.500
3 Ac 0.000 0.000 0.000
4 Pd 0.390 0.390 0.000
5 Pd 0.610 0.610 0.000

For the calculated volume, the calculation gives 20.9 Å³ per atom. Its formation energy is -2.8 eV per formula unit. Its electronic total energy is -4.23 eV per atom. The magnetization is 0.00 μB per formula unit. Its space group is I4/mmm, No. 139.


(2)
Density functional theory data (PBE) for crystalline Li3AcPd3 at its relaxed geometry.

Lattice parameters (Å, degrees): 7.710 7.710 7.710 53.27 53.27 53.27
Sites, in units of the cell vectors:
1 Li 0.074 0.751 0.587
2 Li 0.249 0.413 0.926
3 Li 0.413 0.926 0.249
4 Li 0.587 0.074 0.751
5 Li 0.751 0.587 0.074
6 Li 0.926 0.249 0.413
7 Ac 0.347 0.347 0.347
8 Ac 0.653 0.653 0.653
9 Pd 0.047 0.306 0.840
10 Pd 0.160 0.953 0.694
11 Pd 0.306 0.840 0.047
12 Pd 0.694 0.160 0.953
13 Pd 0.840 0.047 0.306
14 Pd 0.953 0.694 0.160

For the calculated volume, the calculation gives 19.5 Å³ per atom. Its formation energy is -2.9 eV per formula unit. Its electronic total energy is -4.04 eV per atom. The magnetization is 0.00 μB per formula unit. Its space group is R-3, No. 148.


(3)
Density functional theory data (PBE) for crystalline Li3Ac4Pd5 at its relaxed geometry.

Lattice parameters (Å, degrees): 7.790 7.790 11.315 121.33 121.33 34.13
Sites, in units of the cell vectors:
1 Li 0.000 0.000 0.000
2 Li 0.361 0.361 0.097
3 Li 0.639 0.639 0.903
4 Ac 0.040 0.040 0.345
5 Ac 0.270 0.270 0.752
6 Ac 0.730 0.730 0.248
7 Ac 0.960 0.960 0.655
8 Pd 0.290 0.290 0.478
9 Pd 0.409 0.409 0.360
10 Pd 0.500 0.500 0.000
11 Pd 0.591 0.591 0.640
12 Pd 0.710 0.710 0.522

For the calculated volume, the calculation gives 26.9 Å³ per atom. Its formation energy is -6.0 eV per formula unit. Its electronic total energy is -4.51 eV per atom. The magnetization is 0.00 μB per formula unit. Its space group is C2/m, No. 12.


(4)
Density functional theory data (PBE) for crystalline Li2AcPd at its relaxed geometry.

Lattice parameters (Å, degrees): 4.913 4.913 4.913 60.00 60.00 60.00
Sites, in units of the cell vectors:
1 Li 0.250 0.250 0.250
2 Li 0.750 0.750 0.750
3 Ac 0.000 0.000 0.000
4 Pd 0.500 0.500 0.500

For the calculated volume, the calculation gives 21.0 Å³ per atom. Its formation energy is -0.4 eV per formula unit. Its electronic total energy is -3.38 eV per atom. The magnetization is 0.00 μB per formula unit. Its space group is Fm-3m, No. 225.


(5)
Density functional theory data (PBE) for crystalline Li2AcPd at its relaxed geometry.

Lattice parameters (Å, degrees): 3.806 3.806 6.054 90.00 90.00 90.00
Sites, in units of the cell vectors:
1 Li 0.000 0.000 0.182
2 Li 0.000 0.000 0.818
3 Ac 0.500 0.500 0.500
4 Pd 0.500 0.500 0.000

For the calculated volume, the calculation gives 21.9 Å³ per atom. Its formation energy is -0.7 eV per formula unit. Its electronic total energy is -3.45 eV per atom. The magnetization is 0.00 μB per formula unit. Its space group is P4/mmm, No. 123.


(6)
Density functional theory data (PBE) for crystalline Li6Ac3Pd5 at its relaxed geometry.

Lattice parameters (Å, degrees): 4.233 13.081 10.578 90.00 90.00 90.00
Sites, in units of the cell vectors:
1 Li 0.250 0.061 0.072
2 Li 0.250 0.250 0.510
3 Li 0.250 0.250 0.955
4 Li 0.250 0.439 0.072
5 Li 0.250 0.594 0.498
6 Li 0.250 0.906 0.498
7 Li 0.750 0.094 0.502
8 Li 0.750 0.406 0.502
9 Li 0.750 0.561 0.928
10 Li 0.750 0.750 0.045
11 Li 0.750 0.750 0.490
12 Li 0.750 0.939 0.928
13 Ac 0.250 0.073 0.747
14 Ac 0.250 0.427 0.747
15 Ac 0.250 0.750 0.773
16 Ac 0.750 0.250 0.227
17 Ac 0.750 0.573 0.253
18 Ac 0.750 0.927 0.253
19 Pd 0.250 0.091 0.339
20 Pd 0.250 0.409 0.339
21 Pd 0.250 0.640 0.047
22 Pd 0.250 0.750 0.287
23 Pd 0.250 0.860 0.047
24 Pd 0.750 0.140 0.953
25 Pd 0.750 0.250 0.713
26 Pd 0.750 0.360 0.953
27 Pd 0.750 0.591 0.661
28 Pd 0.750 0.909 0.661

For the calculated volume, the calculation gives 20.9 Å³ per atom. Its formation energy is -7.2 eV per formula unit. Its electronic total energy is -4.07 eV per atom. The magnetization is 0.00 μB per formula unit. Its space group is Pmmn, No. 59.